Record 1
# FeCuTe

A geometry-optimized FeCuTe structure (GGA-PBE, Alexandria via LeMat-Bulk).

The relative energy among the computed polymorphs is 319 meV/atom. The energy relative to the elements, uncorrected comes out at 455 meV/atom.

It has space group P3m1 (No. 156), with a = 4.1031 Å, b = 4.1031 Å, c = 3.6458 Å, α = 90.00°, β = 90.00° and γ = 120.00°. The asymmetric unit holds Fe at (0.0000, 0.0000, 0.0000), Cu at (0.3333, 0.6667, 0.8618) and Te at (0.6667, 0.3333, 0.4474).

---

Record 2
# FeCuTe

A geometry-optimized FeCuTe structure (GGA-PBE, Alexandria via LeMat-Bulk).

The relative energy among the computed polymorphs is 358 meV/atom. The energy relative to the elements, uncorrected comes out at 494 meV/atom.

It has space group P3m1 (No. 156), with a = 3.2669 Å, b = 3.2669 Å, c = 5.7792 Å, α = 90.00°, β = 90.00° and γ = 120.00°. The asymmetric unit holds Fe at (0.0000, 0.0000, 0.0000), Cu at (0.3333, 0.6667, 0.7050) and Te at (0.6667, 0.3333, 0.3123).

---

Record 3
# Fe4CuTe

A geometry-optimized Fe4CuTe structure (GGA-PBE, Alexandria via LeMat-Bulk).

The energy relative to the elements, uncorrected comes out at 334 meV/atom.

It has space group F-43m (No. 216), with a = 6.922 Å, b = 6.922 Å, c = 6.922 Å, α = 90.00°, β = 90.00° and γ = 90.00°. The asymmetric unit holds Fe at (0.124, 0.124, 0.376), Cu at (0.250, 0.250, 0.750) and Te at (0.000, 0.000, 0.000).

---

Record 4
# FeCuTe2

A geometry-optimized FeCuTe2 structure (GGA-PBE, Alexandria via LeMat-Bulk).

The energy relative to the elements, uncorrected comes out at 118 meV/atom.

It has space group R-3m (No. 166, hexagonal axes), with a = 3.7178 Å, b = 3.7178 Å, c = 20.3802 Å, α = 90.00°, β = 90.00° and γ = 120.00°. The asymmetric unit holds Fe at (0.0000, 0.0000, 0.0000), Cu at (0.0000, 0.0000, 0.5000) and Te at (0.0000, 0.0000, 0.2523).